Crystalline Ac2Hg2Rh at its relaxed geometry. Source: Alexandria via LeMat-Bulk, functional PBE.

It has space group P-1 (No. 2), with a = 4.149 Å, b = 6.568 Å, c = 11.764 Å, α = 90.20°, β = 100.14° and γ = 108.39°. Symmetry generates all atoms from Ac at (0.075, 0.270, 0.382), Ac at (0.286, 0.206, 0.866), Hg at (0.027, 0.650, 0.903), Hg at (0.347, 0.816, 0.379) and Rh at (0.414, 0.123, 0.206).

For the density of states at the Fermi level, the calculation gives 0.611 states/eV per atom.

=====

Crystalline TlCdF3 at its relaxed geometry. Source: Alexandria via LeMat-Bulk, functional PBE.

It has space group C2/m (No. 12), with a = 15.471 Å, b = 3.514 Å, c = 8.011 Å, α = 90.00°, β = 104.63° and γ = 90.00°. Symmetry generates all atoms from Tl at (0.124, 0.000, 0.378), Cd at (0.157, 0.500, 0.846), F at (0.072, 0.000, 0.724), F at (0.186, 0.000, 0.043) and F at (0.200, 0.500, 0.600).

For the density of states at the Fermi level, the calculation gives 0.000 states/eV per atom. As for the energy relative to the elements, uncorrected: -1981 meV/atom.

=====

Crystalline TaZn2Te at its relaxed geometry. Source: Alexandria via LeMat-Bulk, functional PBE.

It has space group Cmmm (No. 65), with a = 3.956 Å, b = 4.396 Å, c = 9.740 Å, α = 90.00°, β = 90.00° and γ = 90.00°. Symmetry generates all atoms from Ta at (0.000, 0.000, 0.000), Zn at (0.000, 0.500, 0.194) and Te at (0.000, 0.000, 0.500).

For the density of states at the Fermi level, the calculation gives 0.555 states/eV per atom. As for the energy relative to the elements, uncorrected: 271 meV/atom.

=====

Crystalline Sm2ThS4 at its relaxed geometry. Source: Alexandria via LeMat-Bulk, functional PBE.

It has space group Cmcm (No. 63), with a = 3.935 Å, b = 13.297 Å, c = 13.178 Å, α = 90.00°, β = 90.00° and γ = 90.00°. Symmetry generates all atoms from Sm at (0.000, 0.134, 0.068), Th at (0.000, 0.374, 0.250), S at (0.000, 0.025, 0.250), S at (0.000, 0.225, 0.626) and S at (0.000, 0.500, 0.000).

For the density of states at the Fermi level, the calculation gives 0.502 states/eV per atom. As for the energy relative to the elements, uncorrected: -1957 meV/atom.

=====

Crystalline LaSnPSe2 at its relaxed geometry. Source: Alexandria via LeMat-Bulk, functional PBE.

It has space group P4/mmm (No. 123), with a = 5.247 Å, b = 5.247 Å, c = 5.002 Å, α = 90.00°, β = 90.00° and γ = 90.00°. Symmetry generates all atoms from La at (0.000, 0.000, 0.000), Sn at (0.500, 0.500, 0.500), P at (0.500, 0.500, 0.000) and Se at (0.000, 0.500, 0.500).

For the density of states at the Fermi level, the calculation gives 0.434 states/eV per atom. As for the energy relative to the elements, uncorrected: -432 meV/atom.

=====

Crystalline PdAuI at its relaxed geometry. Source: Alexandria via LeMat-Bulk, functional PBE.

It has space group Amm2 (No. 38), with a = 10.523 Å, b = 3.880 Å, c = 7.422 Å, α = 90.00°, β = 90.00° and γ = 90.00°. Symmetry generates all atoms from Pd at (0.000, 0.000, 0.000), Pd at (0.500, 0.000, 0.044), Au at (0.134, 0.000, 0.310) and I at (0.325, 0.000, 0.571).

For the density of states at the Fermi level, the calculation gives 0.354 states/eV per atom. As for the energy relative to the elements, uncorrected: 191 meV/atom.

=====

Crystalline Tb4Al3Au at its relaxed geometry. Source: Alexandria via LeMat-Bulk, functional PBE.

It has space group P4/mmm (No. 123), with a = 3.607 Å, b = 3.607 Å, c = 14.588 Å, α = 90.00°, β = 90.00° and γ = 90.00°. Symmetry generates all atoms from Tb at (0.000, 0.000, 0.124), Tb at (0.000, 0.000, 0.376), Al at (0.500, 0.500, 0.000), Al at (0.500, 0.500, 0.248) and Au at (0.500, 0.500, 0.500).

For the density of states at the Fermi level, the calculation gives 0.651 states/eV per atom.

=====

Crystalline Pm12Tm5Ag3 at its relaxed geometry. Source: Alexandria via LeMat-Bulk, functional PBE.

It has space group Ia-3d (No. 230), with a = 18.287 Å, b = 18.287 Å, c = 18.287 Å, α = 90.00°, β = 90.00° and γ = 90.00°. Symmetry generates all atoms from Pm at (0.009, 0.087, 0.649), Tm at (0.000, 0.000, 0.000), Tm at (0.000, 0.250, 0.375) and Ag at (0.000, 0.250, 0.125).

For the density of states at the Fermi level, the calculation gives 1.591 states/eV per atom.

=====

no.,VASP energy (eV/f.u.)
1,-19.0
2,-18.8
3,-16.5
4,-47.1
5,-23.5
6,-9.4
7,-37.0
8,-71.8